An optimized crystal structure of TcWSeBr2, computed with PBE.

Lattice parameters (Å, degrees): 4.983 4.983 4.744 90.00 90.00 90.00
Space group P4/mmm (No. 123)
Asymmetric unit:
Tc: 0.000 0.000 0.000 x1
W: 0.500 0.500 0.500 x1
Se: 0.000 0.000 0.500 x1
Br: 0.000 0.500 0.000 x2

The density comes out at 7.34 g/cm³. The calculation puts the energy above the most stable polymorph in this dataset at 0.5197 eV per atom. The value obtained for the total energy is -4.39 eV per atom. The calculation puts the total magnetization at 0.67 μB/cell.

An optimized crystal structure of ZrV3Ge2, computed with PBE.

Lattice parameters (Å, degrees): 13.249 4.103 7.960 90.00 117.88 90.00
Space group C2/m (No. 12)
Asymmetric unit:
Zr: 0.146 0.000 0.057 x4
V: 0.046 0.000 0.372 x4
V: 0.076 0.500 0.659 x4
V: 0.189 0.500 0.485 x4
Ge: 0.028 0.500 0.163 x4
Ge: 0.196 0.000 0.725 x4

The density comes out at 6.76 g/cm³. As for the formation energy: -377 meV/atom. The value obtained for the total energy is -7.90 eV per atom. The calculation puts the total magnetization at 0.00 μB/cell.

An optimized crystal structure of Ba2TeRu, computed with PBE.

Lattice parameters (Å, degrees): 7.729 7.729 7.729 90.00 90.00 90.00
Space group F-43m (No. 216)
Asymmetric unit:
Ba: 0.000 0.000 0.000 x4
Ba: 0.250 0.250 0.250 x4
Te: 0.000 0.000 0.500 x4
Ru: 0.250 0.250 0.750 x4

The density comes out at 7.24 g/cm³. The value obtained for the total energy is -3.97 eV per atom. The calculation puts the total magnetization at 0.00 μB/cell.

An optimized crystal structure of OsWC2, computed with PBE.

Lattice parameters (Å, degrees): 5.428 5.428 5.428 90.00 90.00 90.00
Space group Fm-3m (No. 225)
Asymmetric unit:
Os: 0.000 0.000 0.000 x4
W: 0.000 0.000 0.500 x4
C: 0.250 0.250 0.250 x8

The density comes out at 16.53 g/cm³. The calculation puts the energy above the most stable polymorph in this dataset at 0.4799 eV per atom. As for the formation energy: 1181 meV/atom. The value obtained for the total energy is -9.48 eV per atom. The calculation puts the total magnetization at 0.00 μB/cell.

An optimized crystal structure of In5Hg12Sb3, computed with PBE.

Lattice parameters (Å, degrees): 17.299 17.299 17.299 90.00 90.00 90.00
Space group Ia-3d (No. 230)
Asymmetric unit:
In: 0.000 0.000 0.000 x16
In: 0.000 0.250 0.375 x24
Hg: 0.017 0.079 0.653 x96
Sb: 0.000 0.250 0.125 x24

The density comes out at 8.59 g/cm³. The value obtained for the total energy is -1.36 eV per atom. The calculation puts the total magnetization at 0.00 μB/cell.

An optimized crystal structure of Na2SrEu, computed with PBE.

Lattice parameters (Å, degrees): 8.886 8.886 8.886 90.00 90.00 90.00
Space group Fm-3m (No. 225)
Asymmetric unit:
Na: 0.250 0.250 0.250 x8
Sr: 0.000 0.000 0.000 x4
Eu: 0.000 0.000 0.500 x4

The density comes out at 2.70 g/cm³. The calculation puts the energy above the most stable polymorph in this dataset at 0.0030 eV per atom. As for the formation energy: 75 meV/atom. The value obtained for the total energy is -3.57 eV per atom. The calculation puts the total magnetization at 29.72 μB/cell.

An optimized crystal structure of TaSiSbI2, computed with PBE.

Lattice parameters (Å, degrees): 5.268 5.268 5.370 90.00 90.00 90.00
Space group P4/mmm (No. 123)
Asymmetric unit:
Ta: 0.000 0.000 0.000 x1
Si: 0.500 0.500 0.500 x1
Sb: 0.500 0.500 0.000 x1
I: 0.000 0.500 0.500 x2

The density comes out at 6.51 g/cm³. The calculation puts the energy above the most stable polymorph in this dataset at 0.4016 eV per atom. The value obtained for the total energy is -3.61 eV per atom. The calculation puts the total magnetization at 2.39 μB/cell.

An optimized crystal structure of Ti3I7Br, computed with PBE.

Lattice parameters (Å, degrees): 13.420 7.746 9.978 90.00 131.65 90.00
Space group Cm (No. 8)
Asymmetric unit:
Ti: 0.000 0.000 0.000 x2
Ti: 0.211 0.211 0.000 x4
I: 0.039 0.500 0.795 x2
I: 0.176 0.248 0.240 x4
I: 0.289 0.249 0.795 x4
I: 0.406 0.500 0.201 x2
I: 0.424 0.000 0.240 x2
Br: 0.019 0.000 0.755 x2

The density comes out at 4.76 g/cm³. The value obtained for the total energy is -4.08 eV per atom. The calculation puts the total magnetization at 3.96 μB/cell.

Question: Number 5 is which compound?
Answer: In5Hg12Sb3

Question: Look up the density of the sixth one.
Answer: 2.70 g/cm³